Record 1
First-principles (PBE) data for crystalline Dy2Er2TmLu2Ni2Te2 at its relaxed geometry, as listed in OQMD via LeMat-Bulk.

It has space group Imm2 (No. 44), with a = 3.8233 Å, b = 15.4199 Å, c = 9.4870 Å, α = 90.00°, β = 90.00° and γ = 90.00°. The distinct sites, in fractional coordinates, are Dy at (0.0000, 0.1342, 0.0000), Er at (0.0000, 0.3146, 0.7955), Tm at (0.0000, 0.0000, 0.4190), Lu at (0.0000, 0.3537, 0.1467), Ni at (0.0000, 0.2353, 0.4882), Te at (0.0000, 0.0000, 0.7556) and Te at (0.0000, 0.5000, 0.6529).

Its energy above the most stable polymorph in this dataset is 0.9 kJ/mol of atoms. As for the density: 9209 kg/m3. The calculation puts the electronic total energy at -5.15 eV per atom.


Record 2
First-principles (PBE) data for crystalline Re2Mo3As2 at its relaxed geometry, as listed in OQMD via LeMat-Bulk.

It has space group R3m (No. 160, hexagonal axes), with a = 4.3501 Å, b = 4.3501 Å, c = 20.9026 Å, α = 90.00°, β = 90.00° and γ = 120.00°. The distinct sites, in fractional coordinates, are Re at (0.0000, 0.0000, 0.0000), Re at (0.0000, 0.0000, 0.4796), Mo at (0.0000, 0.0000, 0.3574), Mo at (0.0000, 0.0000, 0.6122), Mo at (0.0000, 0.0000, 0.8659), As at (0.0000, 0.0000, 0.2208) and As at (0.0000, 0.0000, 0.7441).

As for the density: 11781 kg/m3. The calculation puts the electronic total energy at -9.17 eV per atom.